No. 1
Entry from Alexandria via LeMat-Bulk: Sc3C at its PBEsol-relaxed geometry (SCAN).

Lattice parameters (Å, degrees): 3.9527 3.9527 3.9527 90.00 90.00 90.00
With the nearest neighbours (Å) after each atom.
Sites, in units of the cell vectors:
C 0.0000 0.0000 0.0000  12 Sc 2.79
Sc 0.5000 0.5000 0.0000  8 Sc 2.79, 4 C 2.79
Sc 0.0000 0.5000 0.5000  8 Sc 2.79, 4 C 2.79
Sc 0.5000 0.0000 0.5000  8 Sc 2.79, 4 C 2.79

Calculated values
As for the space-group type: Pm-3m, No. 221. The value obtained for the polymorph energy (0 for the lowest one) is 953 meV per atom. For the formation energy from the elements, the calculation gives 0.60 eV per atom.

=====

No. 2
Entry from Alexandria via LeMat-Bulk: Rb3MnTc at its PBEsol-relaxed geometry (SCAN).

Lattice parameters (Å, degrees): 6.5202 6.5202 6.5202 90.00 90.00 90.00
With the nearest neighbours (Å) after each atom.
Sites, in units of the cell vectors:
Mn 0.0000 0.0000 0.0000  6 Rb 3.26
Tc 0.5000 0.5000 0.5000  12 Rb 4.61
Rb 0.5000 0.0000 0.0000  2 Mn 3.26
Rb 0.0000 0.5000 0.0000  2 Mn 3.26
Rb 0.0000 0.0000 0.5000  2 Mn 3.26

Calculated values
As for the space-group type: Pm-3m, No. 221. For the formation energy from the elements, the calculation gives 1.61 eV per atom.

=====

No. 3
Entry from Alexandria via LeMat-Bulk: Tb2Ni2Sn at its PBEsol-relaxed geometry (SCAN).

Lattice parameters (Å, degrees): 4.2014 5.3905 5.3905 62.38 67.06 67.06
With the nearest neighbours (Å) after each atom.
Sites, in units of the cell vectors:
Ni 0.5000 0.2886 0.7114  1 Ni 2.36
Ni 0.5000 0.7114 0.2886  1 Ni 2.36
Tb 0.7975 0.7025 0.7025  6 Ni 2.93, 4 Sn 3.22-3.25
Tb 0.2025 0.2975 0.2975  6 Ni 2.93, 4 Sn 3.22-3.25
Sn 0.0000 0.0000 0.0000  4 Ni 2.65

Calculated values
As for the space-group type: Immm, No. 71. For the formation energy from the elements, the calculation gives -0.63 eV per atom.

=====

No. 4
Entry from Alexandria via LeMat-Bulk: MgBeO2F at its PBEsol-relaxed geometry (SCAN).

Lattice parameters (Å, degrees): 3.6748 3.8206 3.8206 90.00 90.00 90.00
With the nearest neighbours (Å) after each atom.
Sites, in units of the cell vectors:
O 0.0000 0.0000 0.5000  2 Mg 1.91
O 0.0000 0.5000 0.0000  2 Mg 1.91
F 0.5000 0.0000 0.0000  2 Mg 1.84
Mg 0.0000 0.0000 0.0000  2 F 1.84, 4 O 1.91
Be 0.5000 0.5000 0.5000  8 O 2.65, 4 F 2.70

Calculated values
As for the space-group type: P4/mmm, No. 123. The calculation puts the uncorrected formation energy at -1.205 eV per atom.

=====

No. 5
Entry from Alexandria via LeMat-Bulk: TcRh2 at its PBEsol-relaxed geometry (SCAN).

Lattice parameters (Å, degrees): 2.6919 5.0895 6.3360 103.54 90.00 105.33
With the nearest neighbours (Å) after each atom.
Sites, in units of the cell vectors:
Tc 0.7225 0.4449 0.9441  8 Rh 2.63-2.69, 4 Tc 2.69
Tc 0.0556 0.1111 0.6132  8 Rh 2.61-2.72, 4 Tc 2.69
Rh 0.6652 0.3304 0.3360  3 Tc 2.64-2.68, 9 Rh 2.65-2.70
Rh 0.3317 0.6634 0.6674  5 Tc 2.64-2.67, 7 Rh 2.68-2.70
Rh 0.0030 0.0060 0.9976  4 Tc 2.61-2.69, 8 Rh 2.67-2.70
Rh 0.3887 0.7775 0.2750  8 Rh 2.65-2.69, 4 Tc 2.69-2.72

Calculated values
As for the space-group type: Cm, No. 8. The value obtained for the polymorph energy (0 for the lowest one) is 75 meV per atom. For the formation energy from the elements, the calculation gives -0.11 eV per atom.

=====

No. 6
Entry from Alexandria via LeMat-Bulk: BaZrFe2 at its PBEsol-relaxed geometry (SCAN).

Lattice parameters (Å, degrees): 3.1644 3.1644 8.3338 90.00 90.00 90.00
With the nearest neighbours (Å) after each atom.
Sites, in units of the cell vectors:
Fe 0.5000 0.5000 0.2195  4 Fe 2.50, 4 Zr 2.70
Fe 0.0000 0.0000 0.0864  4 Fe 2.50, 1 Zr 2.62
Ba 0.5000 0.5000 0.7939  4 Ba 3.16, 4 Fe 3.31
Zr 0.0000 0.0000 0.4002  5 Fe 2.62-2.70

Calculated values
As for the space-group type: P4mm, No. 99. The value obtained for the polymorph energy (0 for the lowest one) is 0 meV per atom. For the formation energy from the elements, the calculation gives 0.43 eV per atom.

=====

No. 7
Entry from Alexandria via LeMat-Bulk: Hf2BeFeAu at its PBEsol-relaxed geometry (SCAN).

Lattice parameters (Å, degrees): 4.6038 5.0084 5.0084 90.00 90.00 90.00
With the nearest neighbours (Å) after each atom.
Sites, in units of the cell vectors:
Fe 0.5000 0.0000 0.0000  2 Au 2.30
Be 0.5000 0.5000 0.5000  8 Hf 3.40, 4 Fe 3.54
Hf 0.0000 0.5000 0.0000  2 Au 2.50
Hf 0.0000 0.0000 0.5000  2 Au 2.50
Au 0.0000 0.0000 0.0000  2 Fe 2.30, 4 Hf 2.50

Calculated values
As for the space-group type: P4/mmm, No. 123. For the formation energy from the elements, the calculation gives 1.06 eV per atom.

=====

No. 8
Entry from Alexandria via LeMat-Bulk: AsOsAu at its PBEsol-relaxed geometry (SCAN).

Lattice parameters (Å, degrees): 4.1524 4.1524 4.1524 60.00 60.00 60.00
With the nearest neighbours (Å) after each atom.
Sites, in units of the cell vectors:
Au 0.0000 0.0000 0.0000  4 As 2.54
Os 0.5000 0.5000 0.5000  4 As 2.54
As 0.2500 0.2500 0.2500  4 Os 2.54, 4 Au 2.54

Calculated values
As for the space-group type: F-43m, No. 216. For the formation energy from the elements, the calculation gives 0.56 eV per atom.

=====

No. 9
Entry from Alexandria via LeMat-Bulk: CdSeCl2 at its PBEsol-relaxed geometry (SCAN).

Lattice parameters (Å, degrees): 4.0983 4.4568 4.4568 90.00 90.00 90.00
With the nearest neighbours (Å) after each atom.
Sites, in units of the cell vectors:
Cl 0.0000 0.0000 0.5000  4 Se 3.03, 4 Cd 3.03, 4 Cl 3.15
Cl 0.0000 0.5000 0.0000  4 Se 3.03, 4 Cd 3.03, 4 Cl 3.15
Cd 0.5000 0.0000 0.0000  8 Cl 3.03, 4 Se 3.15
Se 0.5000 0.5000 0.5000  8 Cl 3.03, 4 Cd 3.15

Calculated values
As for the space-group type: P4/mmm, No. 123. The value obtained for the polymorph energy (0 for the lowest one) is 468 meV per atom. The calculation puts the uncorrected formation energy at 0.063 eV per atom.

=====

No. 10
Entry from Alexandria via LeMat-Bulk: YRuN2O at its PBEsol-relaxed geometry (SCAN).

Lattice parameters (Å, degrees): 4.1654 4.2871 4.2871 90.00 90.00 90.00
With the nearest neighbours (Å) after each atom.
Sites, in units of the cell vectors:
N 0.0000 0.5000 0.0000  2 Y 2.14
N 0.0000 0.0000 0.5000  2 Y 2.14
O 0.5000 0.0000 0.0000  2 Y 2.08
Y 0.0000 0.0000 0.0000  2 O 2.08, 4 N 2.14
Ru 0.5000 0.5000 0.5000  8 N 2.99, 4 O 3.03

Calculated values
As for the space-group type: P4/mmm, No. 123. The calculation puts the uncorrected formation energy at 0.871 eV per atom.

=====

No. 11
Entry from Alexandria via LeMat-Bulk: TaNiP3 at its PBEsol-relaxed geometry (SCAN).

Lattice parameters (Å, degrees): 4.7049 4.7049 4.7049 90.00 90.00 90.00
With the nearest neighbours (Å) after each atom.
Sites, in units of the cell vectors:
P 0.0000 0.0000 0.5000  2 Ta 2.35
P 0.5000 0.0000 0.0000  2 Ta 2.35
P 0.0000 0.5000 0.0000  2 Ta 2.35
Ta 0.0000 0.0000 0.0000  6 P 2.35
Ni 0.5000 0.5000 0.5000  12 P 3.33

Calculated values
As for the space-group type: Pm-3m, No. 221. For the formation energy from the elements, the calculation gives 0.92 eV per atom.

=====

No. 12
Entry from Alexandria via LeMat-Bulk: Zn4TeIr at its PBEsol-relaxed geometry (SCAN).

Lattice parameters (Å, degrees): 5.0707 5.0707 5.0707 60.00 60.00 60.00
With the nearest neighbours (Å) after each atom.
Sites, in units of the cell vectors:
Zn 0.3761 0.8716 0.3761  6 Zn 2.51-2.56
Zn 0.3761 0.3761 0.8716  6 Zn 2.51-2.56
Zn 0.8716 0.3761 0.3761  6 Zn 2.51-2.56
Zn 0.3761 0.3761 0.3761  6 Zn 2.51-2.56
Te 0.0000 0.0000 0.0000  12 Zn 2.98, 4 Ir 3.11
Ir 0.7500 0.7500 0.7500  12 Zn 2.97, 4 Te 3.11

Calculated values
As for the space-group type: F-43m, No. 216. The calculation puts the uncorrected formation energy at 0.242 eV per atom.

=====

No. 13
Entry from Alexandria via LeMat-Bulk: KHf2H at its PBEsol-relaxed geometry (SCAN).

Lattice parameters (Å, degrees): 6.3772 6.3772 6.3772 60.00 60.00 60.00
With the nearest neighbours (Å) after each atom.
Sites, in units of the cell vectors:
H 0.7500 0.7500 0.7500  4 Hf 1.95
H 0.5000 0.5000 0.5000  4 Hf 1.95
Hf 0.6250 0.1250 0.6250  2 H 1.95
Hf 0.6250 0.6250 0.1250  2 H 1.95
Hf 0.6250 0.6250 0.6250  2 H 1.95
Hf 0.1250 0.6250 0.6250  2 H 1.95
K 0.2500 0.2500 0.2500  12 Hf 3.74, 4 H 3.91, 4 K 3.91
K 0.0000 0.0000 0.0000  12 Hf 3.74, 4 K 3.91, 4 H 3.91

Calculated values
The value obtained for the final energy is -33.649 eV per atom. As for the space-group type: Fd-3m, No. 227.

=====

Number 1: theoretical density 3.95 g cm⁻³. Number 2: theoretical density 2.45 g cm⁻³. Number 3: theoretical density 9.55 g cm⁻³. Number 4: theoretical density 2.61 g cm⁻³. Number 5: theoretical density 12.42 g cm⁻³. Number 6: theoretical density 6.77 g cm⁻³. Number 7: theoretical density 8.90 g cm⁻³. Number 8: theoretical density 15.16 g cm⁻³. Number 9: theoretical density 5.35 g cm⁻³. Number 10: theoretical density 5.08 g cm⁻³. Number 11: theoretical density 5.30 g cm⁻³. Number 12: theoretical density 10.47 g cm⁻³. Number 13: theoretical density 7.19 g cm⁻³.